[1]
Dy2Y3 | GGA-PBE | optimized geometry

The value obtained for the total energy is -114.318 eV/cell. The value obtained for the formation energy from the elements is 0.02 eV per formula unit.

The structure belongs to space group C2/c (No. 15); the cell edges are 11.884, 6.298 and 9.213 Å and the angles 90.00°, 110.04° and 90.00°. The asymmetric unit holds Dy at (0.100, 0.166, 0.450), Y at (0.000, 0.332, 0.750) and Y at (0.199, 0.334, 0.150).

***

[2]
Ce4Tl5In2 | GGA-PBE | optimized geometry

The value obtained for the total energy is -43.485 eV/cell. The value obtained for the formation energy from the elements is -2.44 eV per formula unit.

The structure belongs to space group P2/m (No. 10); the cell edges are 8.519, 3.358 and 10.830 Å and the angles 90.00°, 94.13° and 90.00°. The asymmetric unit holds Ce at (0.170, 0.000, 0.388), Ce at (0.285, 0.000, 0.937), Tl at (0.189, 0.500, 0.663), Tl at (0.429, 0.500, 0.201), Tl at (0.500, 0.500, 0.500) and In at (0.059, 0.500, 0.132).